# HfRe3Sb

HfRe3Sb after structural relaxation (PBE, Alexandria via LeMat-Bulk).

## Properties
**Density of states at the Fermi level**: 8.74 states/eV/f.u.
**Formation energy (no corrections)**: 2.382 eV/atom
**Polymorph energy (0 for the lowest one)**: 355 meV per atom

```
data_HfRe3Sb
_symmetry_space_group_name_H-M 'P m -3 m'
_symmetry_Int_Tables_number 221
_symmetry_space_group_name_Hall '-P 4 2 3'
_cell_length_a 4.852
_cell_length_b 4.852
_cell_length_c 4.852
_cell_angle_alpha 90.00
_cell_angle_beta 90.00
_cell_angle_gamma 90.00
loop_
_atom_site_label
_atom_site_fract_x
_atom_site_fract_y
_atom_site_fract_z
_atom_site_occupancy
Hf1 0.000 0.000 0.000 1
Re1 0.000 0.000 0.500 1
Sb1 0.500 0.500 0.500 1
```

=====

# BeIn5

BeIn5 after structural relaxation (PBE, Alexandria via LeMat-Bulk).

## Properties
**Density of states at the Fermi level**: 2.15 states/eV/f.u.
**Energy of formation**: 0.217 eV/atom
**Polymorph energy (0 for the lowest one)**: 23 meV per atom

```
data_BeIn5
_symmetry_space_group_name_H-M 'P 4/m m m'
_symmetry_Int_Tables_number 123
_symmetry_space_group_name_Hall '-P 4 2'
_cell_length_a 3.244
_cell_length_b 3.244
_cell_length_c 13.645
_cell_angle_alpha 90.00
_cell_angle_beta 90.00
_cell_angle_gamma 90.00
loop_
_atom_site_label
_atom_site_fract_x
_atom_site_fract_y
_atom_site_fract_z
_atom_site_occupancy
Be1 0.000 0.000 0.000 1
In1 0.000 0.000 0.309 1
In2 0.500 0.500 0.119 1
In3 0.500 0.500 0.500 1
```

=====

# PmEr12Tm2

PmEr12Tm2 after structural relaxation (PBE, Alexandria via LeMat-Bulk).

## Properties
**Density of states at the Fermi level**: 24.14 states/eV/f.u.
**Energy of formation**: 0.073 eV/atom

```
data_PmEr12Tm2
_symmetry_space_group_name_H-M 'P 1 2/m 1'
_symmetry_Int_Tables_number 10
_cell_length_a 3.581
_cell_length_b 5.606
_cell_length_c 23.309
_cell_angle_alpha 90.00
_cell_angle_beta 94.37
_cell_angle_gamma 90.00
loop_
_symmetry_equiv_pos_as_xyz
'x,y,z'
'-x,-y,-z'
'-x,y,-z'
'x,-y,z'
loop_
_atom_site_label
_atom_site_fract_x
_atom_site_fract_y
_atom_site_fract_z
_atom_site_occupancy
Pm1 0.000 0.000 0.000 1
Er1 0.096 0.500 0.194 1
Er2 0.220 0.500 0.443 1
Er3 0.289 0.000 0.576 1
Er4 0.339 0.500 0.677 1
Er5 0.424 0.000 0.850 1
Er6 0.470 0.500 0.932 1
Tm1 0.142 0.000 0.285 1
```

=====

# TiTlCr2Fe

TiTlCr2Fe after structural relaxation (PBE, Alexandria via LeMat-Bulk).

## Properties
**Density of states at the Fermi level**: 6.55 states/eV/f.u.
**Energy of formation**: 1.010 eV/atom

```
data_TiTlCr2Fe
_symmetry_space_group_name_H-M 'P 4/m m m'
_symmetry_Int_Tables_number 123
_symmetry_space_group_name_Hall '-P 4 2'
_cell_length_a 4.378
_cell_length_b 4.378
_cell_length_c 4.880
_cell_angle_alpha 90.00
_cell_angle_beta 90.00
_cell_angle_gamma 90.00
loop_
_atom_site_label
_atom_site_fract_x
_atom_site_fract_y
_atom_site_fract_z
_atom_site_occupancy
Ti1 0.000 0.000 0.000 1
Tl1 0.500 0.500 0.000 1
Cr1 0.000 0.500 0.500 1
Fe1 0.500 0.500 0.500 1
```

=====

# KRbLi2F4

KRbLi2F4 after structural relaxation (PBE, Alexandria via LeMat-Bulk).

## Properties
**Density of states at the Fermi level**: 0.00 states/eV/f.u.
**Formation energy (no corrections)**: -2.700 eV/atom

```
data_KRbLi2F4
_symmetry_space_group_name_H-M 'P 4/m m m'
_symmetry_Int_Tables_number 123
_symmetry_space_group_name_Hall '-P 4 2'
_cell_length_a 4.058
_cell_length_b 4.058
_cell_length_c 7.628
_cell_angle_alpha 90.00
_cell_angle_beta 90.00
_cell_angle_gamma 90.00
loop_
_atom_site_label
_atom_site_fract_x
_atom_site_fract_y
_atom_site_fract_z
_atom_site_occupancy
K1 0.000 0.000 0.000 1
Rb1 0.000 0.000 0.500 1
Li1 0.500 0.500 0.235 1
F1 0.000 0.500 0.237 1
```

=====

# MgAlAs

MgAlAs after structural relaxation (PBE, Alexandria via LeMat-Bulk).

## Properties
**Density of states at the Fermi level**: 2.91 states/eV/f.u.
**Energy of formation**: 0.000 eV/atom

```
data_MgAlAs
_symmetry_space_group_name_H-M 'F -4 3 m'
_symmetry_Int_Tables_number 216
_symmetry_space_group_name_Hall 'F -4 2 3'
_cell_length_a 6.509
_cell_length_b 6.509
_cell_length_c 6.509
_cell_angle_alpha 90.00
_cell_angle_beta 90.00
_cell_angle_gamma 90.00
loop_
_atom_site_label
_atom_site_fract_x
_atom_site_fract_y
_atom_site_fract_z
_atom_site_occupancy
Mg1 0.000 0.000 0.000 1
Al1 0.000 0.000 0.500 1
As1 0.250 0.250 0.750 1
```